(1)
Here is YTmGe after structural relaxation from Alexandria via LeMat-Bulk. Energies are from PBE.

Values from the calculation:
ΔE_f (eV/atom): -0.54

POSCAR file:
```
YTmGe
1.0
-3.667 2.843 1.412
-4.581 -1.494 -0.559
-2.648 -1.206 3.881
Y Ge Tm
1 1 1
Direct
0.000 0.000 0.000
0.250 0.250 0.250
0.500 0.500 0.500
```

---

(2)
Here is YTmZnGe after structural relaxation from Alexandria via LeMat-Bulk. Energies are from PBE.

Values from the calculation:
ΔE_f (eV/atom): -0.63
ΔE to the lowest computed polymorph (eV per atom): 0.000

POSCAR file:
```
YTmZnGe
1.0
4.169 0.000 0.000
0.000 4.086 0.000
-2.085 0.000 5.401
Y Ge Zn Tm
1 1 1 1
Direct
0.142 0.000 0.284
0.422 0.000 0.845
0.575 0.500 0.151
0.860 0.500 0.720
```

---

(3)
Here is YTm2Zn2Ge2 after structural relaxation from Alexandria via LeMat-Bulk. Energies are from PBE.

Values from the calculation:
ΔE_f (eV/atom): -0.43

POSCAR file:
```
YTm2Zn2Ge2
1.0
-0.963 -0.678 -3.937
-1.969 -3.445 -1.070
-10.583 3.656 -0.185
Tm Zn Ge Y
2 2 2 1
Direct
0.875 0.875 0.374
0.125 0.125 0.626
0.610 0.610 0.169
0.390 0.390 0.831
0.262 0.262 0.214
0.738 0.738 0.786
0.000 0.000 0.000
```

---

(4)
Here is YTmZnGe after structural relaxation from Alexandria via LeMat-Bulk. Energies are from PBE.

Values from the calculation:
ΔE_f (eV/atom): -0.52
ΔE to the lowest computed polymorph (eV per atom): 0.109

POSCAR file:
```
YTmZnGe
1.0
4.991 0.000 0.000
2.495 4.322 0.000
2.495 1.441 4.075
Zn Tm Ge Y
1 1 1 1
Direct
0.750 0.750 0.750
0.000 0.000 0.000
0.250 0.250 0.250
0.500 0.500 0.500
```

---

Question: Which of these has the highest ΔE_f?
Answer: YTm2Zn2Ge2

---

Question: Which value of ΔE_f does entry 1 give?
Answer: -0.54 eV/atom

---

Please write out number 1 again, unchanged.
Here is YTmGe after structural relaxation from Alexandria via LeMat-Bulk. Energies are from PBE.

Values from the calculation:
ΔE_f (eV/atom): -0.54

POSCAR file:
```
YTmGe
1.0
-3.667 2.843 1.412
-4.581 -1.494 -0.559
-2.648 -1.206 3.881
Y Ge Tm
1 1 1
Direct
0.000 0.000 0.000
0.250 0.250 0.250
0.500 0.500 0.500
```